# HoTlPb4 PBE optimized geometry
# - Energy: -87.1 eV/cell
# - DOS at the Fermi energy: 4.8 states/eV per cell
data_HoTlPb4
_space_group_name_H-M_alt 'F -4 3 m'
_space_group_IT_number 216
_space_group_name_Hall 'F -4 2 3'
_cell_length_a 9.1512
_cell_length_b 9.1512
_cell_length_c 9.1512
_cell_angle_alpha 90.00
_cell_angle_beta 90.00
_cell_angle_gamma 90.00
loop_
_atom_site_label
_atom_site_fract_x
_atom_site_fract_y
_atom_site_fract_z
Ho1 0.0000 0.0000 0.0000
Tl1 0.2500 0.2500 0.2500
Pb1 0.1257 0.1257 0.6257

=====

# Ho2Tl2Pb PBE optimized geometry
# - Energy: -37.7 eV/cell
# - DOS at the Fermi energy: 2.6 states/eV per cell
# - Relative energy among the computed polymorphs: 0.000 eV per atom
data_Ho2Tl2Pb
_space_group_name_H-M_alt 'P 4/m b m'
_space_group_IT_number 127
_space_group_name_Hall '-P 4 2ab'
_cell_length_a 8.7995
_cell_length_b 8.7995
_cell_length_c 3.6910
_cell_angle_alpha 90.00
_cell_angle_beta 90.00
_cell_angle_gamma 90.00
loop_
_atom_site_label
_atom_site_fract_x
_atom_site_fract_y
_atom_site_fract_z
Ho1 0.1754 0.3246 0.0000
Tl1 0.1249 0.6249 0.5000
Pb1 0.0000 0.0000 0.5000

=====

# Ho4Tl2Pb PBE optimized geometry
# - Energy: -84.8 eV/cell
# - DOS at the Fermi energy: 19.2 states/eV per cell
# - Relative energy among the computed polymorphs: 0.112 eV per atom
data_Ho4Tl2Pb
_space_group_name_H-M_alt 'R -3 m'
_space_group_IT_number 166
_space_group_name_Hall '-R 3 2"'
_cell_length_a 5.2596
_cell_length_b 5.2596
_cell_length_c 26.1855
_cell_angle_alpha 90.00
_cell_angle_beta 90.00
_cell_angle_gamma 120.00
loop_
_atom_site_label
_atom_site_fract_x
_atom_site_fract_y
_atom_site_fract_z
Ho1 0.0000 0.0000 0.1206
Ho2 0.0000 0.0000 0.3744
Tl1 0.0000 0.0000 0.2577
Pb1 0.0000 0.0000 0.5000

=====

# Ho2Tl9Pb PBE optimized geometry
# - Energy: -35.3 eV/cell
# - DOS at the Fermi energy: 5.9 states/eV per cell
data_Ho2Tl9Pb
_space_group_name_H-M_alt 'P 4/m m m'
_space_group_IT_number 123
_space_group_name_Hall '-P 4 2'
_cell_length_a 4.8430
_cell_length_b 4.8430
_cell_length_c 14.5005
_cell_angle_alpha 90.00
_cell_angle_beta 90.00
_cell_angle_gamma 90.00
loop_
_atom_site_label
_atom_site_fract_x
_atom_site_fract_y
_atom_site_fract_z
Ho1 0.0000 0.0000 0.1553
Tl1 0.0000 0.5000 0.0000
Tl2 0.0000 0.5000 0.3265
Tl3 0.5000 0.5000 0.1638
Tl4 0.5000 0.5000 0.5000
Pb1 0.0000 0.0000 0.5000

=====

# Ho2TlPb4 PBE optimized geometry
# - Energy: -55.5 eV/cell
# - DOS at the Fermi energy: 9.2 states/eV per cell
data_Ho2TlPb4
_space_group_name_H-M_alt 'C 1 2/m 1'
_space_group_IT_number 12
_cell_length_a 9.3205
_cell_length_b 9.5434
_cell_length_c 6.6700
_cell_angle_alpha 90.00
_cell_angle_beta 133.91
_cell_angle_gamma 90.00
loop_
_space_group_symop_operation_xyz
'x,y,z'
'-x,-y,-z'
'-x,y,-z'
'x,-y,z'
'x+1/2,y+1/2,z'
'-x+1/2,-y+1/2,-z'
'-x+1/2,y+1/2,-z'
'x+1/2,-y+1/2,z'
loop_
_atom_site_label
_atom_site_fract_x
_atom_site_fract_y
_atom_site_fract_z
Ho1 0.2500 0.2500 0.0000
Tl1 0.0000 0.0000 0.5000
Pb1 0.0000 0.0000 0.0000
Pb2 0.0000 0.5000 0.0000
Pb3 0.2500 0.2500 0.5000

=====

# Ho3TlPb3 PBE optimized geometry
# - Energy: -57.7 eV/cell
# - DOS at the Fermi energy: 13.2 states/eV per cell
data_Ho3TlPb3
_space_group_name_H-M_alt 'P 63/m'
_space_group_IT_number 176
_space_group_name_Hall '-P 6c'
_cell_length_a 8.9405
_cell_length_b 8.9405
_cell_length_c 5.7978
_cell_angle_alpha 90.00
_cell_angle_beta 90.00
_cell_angle_gamma 120.00
loop_
_atom_site_label
_atom_site_fract_x
_atom_site_fract_y
_atom_site_fract_z
Ho1 0.0905 0.6406 0.2500
Tl1 0.3333 0.6667 0.7500
Pb1 0.0535 0.7962 0.7500

=====

# Ho4TlPb5 PBE optimized geometry
# - Energy: -82.0 eV/cell
# - DOS at the Fermi energy: 12.4 states/eV per cell
data_Ho4TlPb5
_space_group_name_H-M_alt 'I 4'
_space_group_IT_number 79
_cell_length_a 9.8132
_cell_length_b 9.8132
_cell_length_c 6.3913
_cell_angle_alpha 90.00
_cell_angle_beta 90.00
_cell_angle_gamma 90.00
loop_
_space_group_symop_operation_xyz
'x,y,z'
'-y,x,z'
'-x,-y,z'
'y,-x,z'
'x+1/2,y+1/2,z+1/2'
'-y+1/2,x+1/2,z+1/2'
'-x+1/2,-y+1/2,z+1/2'
'y+1/2,-x+1/2,z+1/2'
loop_
_atom_site_label
_atom_site_fract_x
_atom_site_fract_y
_atom_site_fract_z
Ho1 0.0993 0.6931 0.0000
Tl1 0.0000 0.0000 0.7567
Pb1 0.0000 0.0000 0.2509
Pb2 0.1019 0.7101 0.5015

=====

# HoTlPb PBE optimized geometry
# - Energy: -46.1 eV/cell
# - DOS at the Fermi energy: 8.8 states/eV per cell
# - Relative energy among the computed polymorphs: 0.000 eV per atom
data_HoTlPb
_space_group_name_H-M_alt 'C m c m'
_space_group_IT_number 63
_space_group_name_Hall '-C 2c 2'
_cell_length_a 4.6119
_cell_length_b 16.4076
_cell_length_c 4.4589
_cell_angle_alpha 90.00
_cell_angle_beta 90.00
_cell_angle_gamma 90.00
loop_
_atom_site_label
_atom_site_fract_x
_atom_site_fract_y
_atom_site_fract_z
Ho1 0.0000 0.0900 0.2500
Tl1 0.0000 0.2548 0.7500
Pb1 0.0000 0.4267 0.2500

=====

What is the DOS at the Fermi energy in the sixth record? 13.2 states/eV per cell

=====

Number 5 is which compound? Ho2TlPb4